# 1
NiCSe2Br | PBE | relaxed

The space group is P4/mmm (No. 123) and the conventional cell measures 5.2118, 5.2118 and 3.8880 Å, with angles of 90.00, 90.00 and 90.00 degrees. The inequivalent atoms are Ni at (0.0000, 0.0000, 0.0000), C at (0.5000, 0.5000, 0.0000), Se at (0.0000, 0.5000, 0.5000) and Br at (0.5000, 0.5000, 0.5000).

For the density of states at the Fermi level, the calculation gives 5.9 states/eV/f.u. For the uncorrected energy, the calculation gives -2.63 eV per atom. Its raw formation energy is 10.51 eV/f.u.

---

# 2
NiCSe2Br | PBE | relaxed

The space group is P4/mmm (No. 123) and the conventional cell measures 4.6606, 4.6606 and 4.8942 Å, with angles of 90.00, 90.00 and 90.00 degrees. The inequivalent atoms are Ni at (0.0000, 0.0000, 0.0000), C at (0.5000, 0.5000, 0.5000), Se at (0.0000, 0.5000, 0.0000) and Br at (0.0000, 0.0000, 0.5000).

For the density of states at the Fermi level, the calculation gives 5.1 states/eV/f.u. For the uncorrected energy, the calculation gives -3.14 eV per atom. Its raw formation energy is 7.94 eV/f.u.

---

Q: Number 1 is which compound?
A: NiCSe2Br

---

Q: Which value of raw formation energy does entry 2 give?
A: 7.94 eV/f.u.

---

Q: What is the raw formation energy in the first record?
A: 10.51 eV/f.u.

---

Q: Which of these has the highest raw formation energy?
A: number 1